(1)
This record from Alexandria via LeMat-Bulk describes La2CuHg after structural relaxation. The functional is PBE.

Calculated values
energy: -3.88 eV per atom
formation energy: -0.31 eV per atom
volume: 27.17 A^3/atom

Unit cell a=3.778 b=3.778 c=7.615 alpha=90.00 beta=90.00 gamma=90.00
Space group P4/mmm (No. 123)
One atom of each set of equivalent atoms:
La 0.000 0.000 0.225 (multiplicity 2)
Cu 0.500 0.500 0.000 (multiplicity 1)
Hg 0.500 0.500 0.500 (multiplicity 1)

(2)
This record from Alexandria via LeMat-Bulk describes NdGdZnCo after structural relaxation. The functional is PBE.

Calculated values
energy: -6.96 eV per atom
formation energy: -0.15 eV per atom
volume: 22.10 A^3/atom

Unit cell a=7.071 b=7.071 c=7.071 alpha=90.00 beta=90.00 gamma=90.00
Space group F-43m (No. 216)
One atom of each set of equivalent atoms:
Nd 0.000 0.000 0.000 (multiplicity 4)
Gd 0.000 0.000 0.500 (multiplicity 4)
Zn 0.250 0.250 0.750 (multiplicity 4)
Co 0.250 0.250 0.250 (multiplicity 4)

(3)
This record from Alexandria via LeMat-Bulk describes CoAs after structural relaxation. The functional is PBE.

Calculated values
energy: -5.77 eV per atom
formation energy: 0.11 eV per atom
volume: 13.41 A^3/atom

Unit cell a=2.993 b=2.993 c=2.993 alpha=90.00 beta=90.00 gamma=90.00
Space group Pm-3m (No. 221)
One atom of each set of equivalent atoms:
Co 0.000 0.000 0.000 (multiplicity 1)
As 0.500 0.500 0.500 (multiplicity 1)

> Among the records above, which one has the highest formation energy?

CoAs

> The lowest volume belongs to which entry?

CoAs